A relaxed Rb3Bi2Pt crystal, computed with PBE.

* energy relative to the lowest polymorph listed for this composition: 149 meV/atom
* energy of formation from the pure elements: -139 meV per atom
* density of states at the Fermi level: 13.43 states/eV per cell
* total magnetization: 0.0 μB per formula unit

```
data_Rb3Bi2Pt
_chemical_formula_sum 'Rb12 Bi8 Pt4'
_space_group_name_H-M_alt 'C 1 2/m 1'
_space_group_IT_number 12
_cell_length_a 21.388
_cell_length_b 4.539
_cell_length_c 14.160
_cell_angle_alpha 90.00
_cell_angle_beta 117.63
_cell_angle_gamma 90.00
loop_
_space_group_symop_operation_xyz
'x,y,z'
'-x,-y,-z'
'-x,y,-z'
'x,-y,z'
'x+1/2,y+1/2,z'
'-x+1/2,-y+1/2,-z'
'-x+1/2,y+1/2,-z'
'x+1/2,-y+1/2,z'
loop_
_atom_site_label
_atom_site_fract_x
_atom_site_fract_y
_atom_site_fract_z
Rb1 0.042 0.000 0.242
Rb2 0.162 0.500 0.017
Rb3 0.214 0.000 0.616
Bi1 0.060 0.500 0.466
Bi2 0.137 0.000 0.792
Pt1 0.082 0.500 0.676
```